1.
# Cu3Ag4

An optimized crystal structure of Cu3Ag4 (PBE, OQMD).

Cell: 11.7415 2.8479 6.8494 Å, 90.00 109.43 90.00°
Space group Cm (No. 8)
Inequivalent atoms, fractional coordinates:
Cu (0.0000, 0.0000, 0.0000)
Cu (0.0639, 0.5000, 0.7375)
Cu (0.3718, 0.5000, 0.5991)
Ag (0.1511, 0.0000, 0.4649)
Ag (0.2049, 0.5000, 0.1511)
Ag (0.2930, 0.0000, 0.8706)
Ag (0.4315, 0.0000, 0.3051)

Properties
Offset from the most stable computed form, kJ/mol of formula units: 31.6
Formation energy from the elements, eV per atom: 0.09
Uncorrected energy, eV per cell: -43.66

---

2.
# CuAg

An optimized crystal structure of CuAg (PBE, OQMD).

Cell: 2.8111 2.8111 65.8407 Å, 90.00 90.00 120.00°
Space group R3m (No. 160, hexagonal axes)
Inequivalent atoms, fractional coordinates:
Cu (0.0000, 0.0000, 0.0000)
Cu (0.0000, 0.0000, 0.0965)
Cu (0.0000, 0.0000, 0.1924)
Cu (0.0000, 0.0000, 0.6957)
Cu (0.0000, 0.0000, 0.7922)
Ag (0.0000, 0.0000, 0.3000)
Ag (0.0000, 0.0000, 0.3961)
Ag (0.0000, 0.0000, 0.4925)
Ag (0.0000, 0.0000, 0.5959)
Ag (0.0000, 0.0000, 0.8920)

Properties
Formation energy from the elements, eV per atom: 0.10
Uncorrected energy, eV per cell: -95.06

---

- formation energy from the elements of number 2 (CuAg)?
  0.10 eV per atom

---

- What is the formula in the first record?
  Cu3Ag4